Entry 1:
Compound: RuCCl2
Source: Alexandria
Functional: PBE
Structure: optimized geometry

## Properties
* polymorph energy (0 for the lowest one): 0.2300 eV/atom
* total moment: 0.00 μB/f.u.
* formation energy from raw total energies: 1.8920 eV per atom
* VASP energy: -58.50 eV for the cell shown

a = 6.071 Å, b = 6.071 Å, c = 6.071 Å
α = 90.00°, β = 90.00°, γ = 90.00°
Atoms (fractional coordinates):
Ru (0.000, 0.000, 0.000)
Ru (0.000, 0.500, 0.500)
Ru (0.500, 0.000, 0.500)
Ru (0.500, 0.500, 0.000)
C (0.000, 0.000, 0.500)
C (0.000, 0.500, 0.000)
C (0.500, 0.000, 0.000)
C (0.500, 0.500, 0.500)
Cl (0.250, 0.250, 0.250)
Cl (0.250, 0.250, 0.750)
Cl (0.250, 0.750, 0.250)
Cl (0.250, 0.750, 0.750)
Cl (0.750, 0.250, 0.250)
Cl (0.750, 0.250, 0.750)
Cl (0.750, 0.750, 0.250)
Cl (0.750, 0.750, 0.750)

Entry 2:
Compound: RuCCl2
Source: Alexandria
Functional: PBE
Structure: optimized geometry

## Properties
* polymorph energy (0 for the lowest one): 0.0000 eV/atom
* total moment: 0.00 μB/f.u.
* formation energy from raw total energies: 1.6620 eV per atom
* VASP energy: -46.64 eV for the cell shown

a = 3.109 Å, b = 3.109 Å, c = 22.322 Å
α = 90.00°, β = 90.00°, γ = 120.00°
Atoms (fractional coordinates):
Ru (0.000, 0.000, 0.000)
Ru (0.333, 0.667, 0.667)
Ru (0.667, 0.333, 0.333)
C (0.000, 0.000, 0.500)
C (0.333, 0.667, 0.167)
C (0.667, 0.333, 0.833)
Cl (0.000, 0.000, 0.101)
Cl (0.000, 0.000, 0.899)
Cl (0.333, 0.667, 0.566)
Cl (0.333, 0.667, 0.768)
Cl (0.667, 0.333, 0.232)
Cl (0.667, 0.333, 0.434)

Entry 3:
Compound: RuC3Cl
Source: Alexandria
Functional: PBE
Structure: optimized geometry

## Properties
* polymorph energy (0 for the lowest one): 1.2964 eV/atom
* total moment: 0.00 μB/f.u.
* formation energy from raw total energies: 3.3367 eV per atom
* VASP energy: -22.11 eV for the cell shown

a = 3.629 Å, b = 3.629 Å, c = 3.629 Å
α = 90.00°, β = 90.00°, γ = 90.00°
Atoms (fractional coordinates):
Ru (0.000, 0.000, 0.000)
C (0.000, 0.500, 0.500)
C (0.500, 0.000, 0.500)
C (0.500, 0.500, 0.000)
Cl (0.500, 0.500, 0.500)

Entry 4:
Compound: RuCCl3
Source: Alexandria
Functional: PBE
Structure: optimized geometry

## Properties
* polymorph energy (0 for the lowest one): 0.0000 eV/atom
* total moment: 0.00 μB/f.u.
* formation energy from raw total energies: 1.4530 eV per atom
* VASP energy: -16.77 eV for the cell shown

a = 4.709 Å, b = 4.709 Å, c = 4.709 Å
α = 90.00°, β = 90.00°, γ = 90.00°
Atoms (fractional coordinates):
Ru (0.000, 0.000, 0.000)
C (0.500, 0.500, 0.500)
Cl (0.000, 0.000, 0.500)
Cl (0.000, 0.500, 0.000)
Cl (0.500, 0.000, 0.000)

Entry 5:
Compound: RuC3Cl
Source: Alexandria
Functional: PBE
Structure: optimized geometry

## Properties
* polymorph energy (0 for the lowest one): 0.0000 eV/atom
* total moment: 0.00 μB/f.u.
* formation energy from raw total energies: 2.0403 eV per atom
* VASP energy: -28.59 eV for the cell shown

a = 4.020 Å, b = 4.020 Å, c = 4.020 Å
α = 90.00°, β = 90.00°, γ = 90.00°
Atoms (fractional coordinates):
Ru (0.000, 0.000, 0.000)
C (0.000, 0.000, 0.500)
C (0.000, 0.500, 0.000)
C (0.500, 0.000, 0.000)
Cl (0.500, 0.500, 0.500)

Entry 6:
Compound: Ru2CCl
Source: Alexandria
Functional: PBE
Structure: optimized geometry

## Properties
* polymorph energy (0 for the lowest one): 0.8442 eV/atom
* total moment: 0.00 μB/f.u.
* formation energy from raw total energies: 1.4019 eV per atom
* VASP energy: -96.06 eV for the cell shown

a = 5.755 Å, b = 5.755 Å, c = 5.755 Å
α = 90.00°, β = 90.00°, γ = 90.00°
Atoms (fractional coordinates):
Ru (0.250, 0.250, 0.250)
Ru (0.250, 0.250, 0.750)
Ru (0.250, 0.750, 0.250)
Ru (0.250, 0.750, 0.750)
Ru (0.750, 0.250, 0.250)
Ru (0.750, 0.250, 0.750)
Ru (0.750, 0.750, 0.250)
Ru (0.750, 0.750, 0.750)
C (0.000, 0.000, 0.000)
C (0.000, 0.500, 0.500)
C (0.500, 0.000, 0.500)
C (0.500, 0.500, 0.000)
Cl (0.000, 0.000, 0.500)
Cl (0.000, 0.500, 0.000)
Cl (0.500, 0.000, 0.000)
Cl (0.500, 0.500, 0.500)

Entry 7:
Compound: RuC2Cl
Source: Alexandria
Functional: PBE
Structure: optimized geometry

## Properties
* polymorph energy (0 for the lowest one): 1.3728 eV/atom
* total moment: 0.00 μB/f.u.
* formation energy from raw total energies: 2.7938 eV per atom
* VASP energy: -73.58 eV for the cell shown

a = 5.555 Å, b = 5.555 Å, c = 5.555 Å
α = 90.00°, β = 90.00°, γ = 90.00°
Atoms (fractional coordinates):
Ru (0.000, 0.000, 0.000)
Ru (0.000, 0.500, 0.500)
Ru (0.500, 0.000, 0.500)
Ru (0.500, 0.500, 0.000)
C (0.250, 0.250, 0.250)
C (0.250, 0.250, 0.750)
C (0.250, 0.750, 0.250)
C (0.250, 0.750, 0.750)
C (0.750, 0.250, 0.250)
C (0.750, 0.250, 0.750)
C (0.750, 0.750, 0.250)
C (0.750, 0.750, 0.750)
Cl (0.000, 0.000, 0.500)
Cl (0.000, 0.500, 0.000)
Cl (0.500, 0.000, 0.000)
Cl (0.500, 0.500, 0.500)

Entry 8:
Compound: RuCCl2
Source: Alexandria
Functional: PBE
Structure: optimized geometry

## Properties
* polymorph energy (0 for the lowest one): 0.1781 eV/atom
* total moment: 0.00 μB/f.u.
* formation energy from raw total energies: 1.8400 eV per atom
* VASP energy: -59.33 eV for the cell shown

a = 4.965 Å, b = 4.965 Å, c = 11.891 Å
α = 90.00°, β = 90.00°, γ = 90.00°
Atoms (fractional coordinates):
Ru (0.000, 0.000, 0.000)
Ru (0.000, 0.500, 0.250)
Ru (0.500, 0.000, 0.750)
Ru (0.500, 0.500, 0.500)
C (0.000, 0.000, 0.500)
C (0.000, 0.500, 0.750)
C (0.500, 0.000, 0.250)
C (0.500, 0.500, 0.000)
Cl (0.244, 0.250, 0.625)
Cl (0.250, 0.744, 0.875)
Cl (0.250, 0.756, 0.375)
Cl (0.256, 0.250, 0.125)
Cl (0.744, 0.750, 0.125)
Cl (0.750, 0.244, 0.375)
Cl (0.750, 0.256, 0.875)
Cl (0.756, 0.750, 0.625)

Entry 9:
Compound: Ru2CCl
Source: Alexandria
Functional: PBE
Structure: optimized geometry

## Properties
* polymorph energy (0 for the lowest one): 0.0000 eV/atom
* total moment: 0.00 μB/f.u.
* formation energy from raw total energies: 0.5576 eV per atom
* VASP energy: -109.57 eV for the cell shown

a = 4.925 Å, b = 4.925 Å, c = 10.044 Å
α = 90.00°, β = 90.00°, γ = 90.00°
Atoms (fractional coordinates):
Ru (0.174, 0.250, 0.125)
Ru (0.250, 0.674, 0.375)
Ru (0.250, 0.826, 0.875)
Ru (0.326, 0.250, 0.625)
Ru (0.674, 0.750, 0.625)
Ru (0.750, 0.174, 0.875)
Ru (0.750, 0.326, 0.375)
Ru (0.826, 0.750, 0.125)
C (0.000, 0.000, 0.000)
C (0.000, 0.500, 0.250)
C (0.500, 0.000, 0.750)
C (0.500, 0.500, 0.500)
Cl (0.000, 0.000, 0.500)
Cl (0.000, 0.500, 0.750)
Cl (0.500, 0.000, 0.250)
Cl (0.500, 0.500, 0.000)

Entry 10:
Compound: RuCCl3
Source: Alexandria
Functional: PBE
Structure: optimized geometry

## Properties
* polymorph energy (0 for the lowest one): 0.0378 eV/atom
* total moment: 3.00 μB/f.u.
* formation energy from raw total energies: 1.4907 eV per atom
* VASP energy: -16.59 eV for the cell shown

a = 4.460 Å, b = 4.460 Å, c = 4.460 Å
α = 90.00°, β = 90.00°, γ = 90.00°
Atoms (fractional coordinates):
Ru (0.000, 0.000, 0.000)
C (0.500, 0.500, 0.500)
Cl (0.000, 0.500, 0.500)
Cl (0.500, 0.000, 0.500)
Cl (0.500, 0.500, 0.000)

Entry 11:
Compound: RuC2Cl
Source: Alexandria
Functional: PBE
Structure: optimized geometry

## Properties
* polymorph energy (0 for the lowest one): 0.0000 eV/atom
* total moment: 0.00 μB/f.u.
* formation energy from raw total energies: 1.4209 eV per atom
* VASP energy: -95.55 eV for the cell shown

a = 5.300 Å, b = 5.300 Å, c = 9.300 Å
α = 90.00°, β = 90.00°, γ = 90.00°
Atoms (fractional coordinates):
Ru (0.000, 0.000, 0.000)
Ru (0.000, 0.500, 0.250)
Ru (0.500, 0.000, 0.750)
Ru (0.500, 0.500, 0.500)
C (0.128, 0.250, 0.125)
C (0.250, 0.628, 0.375)
C (0.250, 0.872, 0.875)
C (0.372, 0.250, 0.625)
C (0.628, 0.750, 0.625)
C (0.750, 0.128, 0.875)
C (0.750, 0.372, 0.375)
C (0.872, 0.750, 0.125)
Cl (0.000, 0.000, 0.500)
Cl (0.000, 0.500, 0.750)
Cl (0.500, 0.000, 0.250)
Cl (0.500, 0.500, 0.000)

Entry 12:
Compound: RuCSCl2
Source: Alexandria
Functional: PBE
Structure: optimized geometry

## Properties
* polymorph energy (0 for the lowest one): 0.1207 eV/atom
* total moment: 3.74 μB/f.u.
* formation energy from raw total energies: 1.5376 eV per atom
* VASP energy: -18.63 eV for the cell shown

a = 4.579 Å, b = 4.579 Å, c = 3.988 Å
α = 90.00°, β = 90.00°, γ = 90.00°
Atoms (fractional coordinates):
Ru (0.000, 0.000, 0.000)
C (0.500, 0.500, 0.500)
S (0.500, 0.500, 0.000)
Cl (0.000, 0.500, 0.500)
Cl (0.500, 0.000, 0.500)